1.
DFT (PBE) results for a relaxed Np2Cl3F5 crystal.

Lattice parameters (Å, degrees): 5.897 9.097 9.097 81.61 71.09 71.09
Site moments in Bohr magnetons follow the coordinates.
Positions (direct):
1 Np 0.175 0.699 0.950  3.35
2 Np 0.825 0.301 0.050  3.35
3 Np 0.675 0.950 0.699  3.35
4 Np 0.325 0.050 0.301  3.35
5 Cl 0.250 0.000 0.000  -0.04
6 Cl 0.750 0.000 0.000  -0.04
7 Cl 0.326 0.392 0.957  -0.04
8 Cl 0.674 0.608 0.043  -0.04
9 Cl 0.826 0.957 0.392  -0.04
10 Cl 0.174 0.043 0.608  -0.04
11 F 0.250 0.500 0.500  0.53
12 F 0.750 0.500 0.500  0.53
13 F 0.491 0.759 0.759  -0.03
14 F 0.009 0.241 0.241  -0.03
15 F 0.509 0.241 0.241  -0.03
16 F 0.991 0.759 0.759  -0.03
17 F 0.064 0.690 0.183  -0.04
18 F 0.936 0.310 0.817  -0.04
19 F 0.564 0.183 0.690  -0.04
20 F 0.436 0.817 0.310  -0.04

The value obtained for the formation energy from raw total energies is -52.60 kcal/mol of atoms.

---

2.
DFT (PBE) results for a relaxed LiAlHgI4 crystal.

Lattice parameters (Å, degrees): 8.489 8.489 11.748 68.36 68.36 58.93
Positions (direct):
1 Li 0.170 0.170 0.709
2 Li 0.830 0.830 0.291
3 Al 0.680 0.680 0.714
4 Al 0.320 0.320 0.286
5 Hg 0.055 0.055 0.173
6 Hg 0.945 0.945 0.827
7 I 0.153 0.153 0.486
8 I 0.847 0.847 0.514
9 I 0.067 0.556 0.154
10 I 0.472 0.472 0.329
11 I 0.444 0.933 0.846
12 I 0.556 0.067 0.154
13 I 0.528 0.528 0.671
14 I 0.933 0.444 0.846

The value obtained for the formation energy from raw total energies is -16.28 kcal/mol of atoms.

---

3.
DFT (PBE) results for a relaxed AcCdPb crystal.

Lattice parameters (Å, degrees): 6.370 7.081 6.370 61.87 92.77 118.13
Positions (direct):
1 Pb 0.283 0.000 0.717
2 Pb 0.783 0.000 0.217
3 Ac 0.283 0.500 0.717
4 Ac 0.783 0.500 0.217
5 Cd 0.283 0.000 0.218
6 Cd 0.782 0.000 0.717

The formation enthalpy at 0 K is -145.2 meV per atom. As for the energy above the most stable polymorph in this dataset: 0.251 eV per atom.

---

4.
DFT (PBE) results for a relaxed AlCdCo3 crystal.

Lattice parameters (Å, degrees): 4.638 4.638 4.638 90.00 90.00 90.00
Site moments in Bohr magnetons follow the coordinates.
Positions (direct):
1 Co 0.000 0.500 0.000  1.72
2 Co 0.000 0.000 0.500  1.89
3 Co 0.500 0.000 0.000  1.46
4 Al 0.500 0.500 0.500  -0.01
5 Cd 0.000 0.000 0.000  -0.07

The formation enthalpy at 0 K is 1623.8 meV per atom. As for the energy above the most stable polymorph in this dataset: 0.816 eV per atom.

---

5.
DFT (PBE) results for a relaxed Cs2UAu2Se4 crystal.

Lattice parameters (Å, degrees): 4.297 8.594 8.080 107.53 105.42 90.00
Site moments in Bohr magnetons follow the coordinates.
Positions (direct):
1 Cs 0.137 0.577 0.273  0.00
2 Cs 0.863 0.423 0.727  0.00
3 U 0.000 0.000 0.000  2.15
4 Au 0.676 0.986 0.353  -0.02
5 Au 0.324 0.014 0.647  -0.02
6 Se 0.188 0.181 0.376  -0.04
7 Se 0.812 0.819 0.624  -0.04
8 Se 0.512 0.778 0.024  -0.05
9 Se 0.488 0.222 0.976  -0.05

The value obtained for the formation energy from raw total energies is -19.75 kcal/mol of atoms.

---

6.
DFT (PBE) results for a relaxed Ni7PtRh2 crystal.

Lattice parameters (Å, degrees): 2.592 7.637 6.811 107.66 101.04 90.00
Site moments in Bohr magnetons follow the coordinates.
Positions (direct):
1 Ni 0.181 0.591 0.363  0.78
2 Ni 0.819 0.409 0.637  0.78
3 Ni 0.391 0.699 0.781  0.70
4 Ni 0.609 0.301 0.219  0.70
5 Ni 0.597 0.810 0.195  0.75
6 Ni 0.403 0.190 0.805  0.75
7 Ni 0.500 0.500 0.000  0.76
8 Pt 0.000 0.000 0.000  0.27
9 Rh 0.791 0.883 0.581  0.65
10 Rh 0.209 0.117 0.419  0.65

The formation enthalpy at 0 K is 121.6 meV per atom. As for the energy above the most stable polymorph in this dataset: 0.000 eV per atom.

---

7.
DFT (PBE) results for a relaxed NdTl3S3 crystal.

Lattice parameters (Å, degrees): 4.181 8.851 12.155 86.08 90.00 90.00
Positions (direct):
1 Nd 0.250 0.885 0.382
2 Nd 0.750 0.115 0.618
3 Tl 0.250 0.383 0.367
4 Tl 0.750 0.617 0.633
5 Tl 0.250 0.861 0.876
6 Tl 0.750 0.139 0.124
7 Tl 0.250 0.332 0.853
8 Tl 0.750 0.668 0.147
9 S 0.250 0.334 0.610
10 S 0.750 0.666 0.390
11 S 0.250 0.895 0.616
12 S 0.750 0.105 0.384
13 S 0.250 0.903 0.148
14 S 0.750 0.097 0.852

The value obtained for the formation energy from raw total energies is -22.83 kcal/mol of atoms.

---

8.
DFT (PBE) results for a relaxed CaHgPb crystal.

Lattice parameters (Å, degrees): 5.638 5.639 6.709 97.46 82.53 125.90
Positions (direct):
1 Pb 0.044 0.503 0.203
2 Pb 0.371 0.176 0.004
3 Ca 0.697 0.850 0.872
4 Ca 0.383 0.164 0.496
5 Hg 0.037 0.510 0.700
6 Hg 0.712 0.835 0.386

The formation enthalpy at 0 K is -380.6 meV per atom.

---

Looking at E for the records above, in order, we have -6.36, -2.44, -3.06, -3.57, -4.58, -6.00, -4.45, -2.38 eV/atom.